[1]
A plane-wave DFT calculation with PBE was carried out for crystalline Zr2AgAu at its relaxed geometry.

a b c (Å): 4.987 4.985 6.496
angles (deg): 90.00 90.00 90.00
Sites, in units of the cell vectors:
Zr 0.000 0.250 0.143
Zr 0.000 0.750 0.857
Zr 0.500 0.250 0.851
Zr 0.500 0.750 0.149
Ag 0.001 0.750 0.384
Ag 0.999 0.250 0.616
Au 0.499 0.250 0.373
Au 0.501 0.750 0.627

Output
Energy relative to the elements: -0.34 eV per atom
Raw total energy: -6.136 eV/atom
Crystal system: monoclinic

---

[2]
A plane-wave DFT calculation with PBE was carried out for crystalline DyErCu2 at its relaxed geometry.

a b c (Å): 4.469 5.450 5.450
angles (deg): 39.35 90.00 90.00
Sites, in units of the cell vectors:
Dy 0.000 0.000 0.000
Er 0.500 0.280 0.280
Cu 0.000 0.714 0.714
Cu 0.500 0.568 0.568

Output
Energy relative to the elements: -0.26 eV per atom
Relative energy among the computed polymorphs: 8 meV/atom
Raw total energy: -4.412 eV/atom
Crystal system: orthorhombic

---

> Among the records above, which one has the highest energy relative to the elements?

DyErCu2

---

> Number 2 is which compound?

DyErCu2

---

> Which of these has the highest energy relative to the elements?

DyErCu2